First-principles (meta-GGA SCAN) data for a PBEsol-optimized structure of ZnTeOs2, as listed in Alexandria.

Cell: 3.957 3.957 4.874 Å, 113.95 113.95 90.00°
Positions (direct):
1 Os 0.750 0.250 0.500
2 Os 0.000 0.000 0.000
3 Te 0.500 0.500 0.000
4 Zn 0.250 0.750 0.500

The value obtained for the final energy is -47.84 eV per atom. As for the crystal system: tetragonal.